Below is a relaxed Tb6Dy2HoTh crystal, with properties calculated at the PBE-GGA level.

## Properties
Magnetization = 0.00 μB/atom
ΔE_f = 149.9 meV/atom
Electronic total energy = -4.75 eV per atom
Space-group type = C2/c (15)

Lattice parameters (Å, degrees): 8.765 8.765 9.439 93.22 93.22 116.43
Sites, in units of the cell vectors:
Tb 0.013 0.570 0.185
Tb 0.118 0.762 0.559
Tb 0.238 0.882 0.941
Tb 0.292 0.517 0.385
Tb 0.430 0.987 0.315
Tb 0.483 0.708 0.115
Tb 0.517 0.292 0.885
Tb 0.570 0.013 0.685
Tb 0.708 0.483 0.615
Tb 0.762 0.118 0.059
Tb 0.882 0.238 0.441
Tb 0.987 0.430 0.815
Dy 0.202 0.300 0.052
Dy 0.300 0.202 0.552
Dy 0.700 0.798 0.448
Dy 0.798 0.700 0.948
Ho 0.409 0.591 0.750
Ho 0.591 0.409 0.250
Th 0.032 0.968 0.250
Th 0.968 0.032 0.750

Below is a relaxed PrCuGe2Au crystal, with properties calculated at the PBE-GGA level.

## Properties
Magnetization = 0.00 μB/atom
ΔE_f = -538.6 meV/atom
Electronic total energy = -4.82 eV per atom
Space-group type = I-4m2 (119)

Lattice parameters (Å, degrees): 6.105 6.105 6.105 138.73 138.73 59.78
Sites, in units of the cell vectors:
Pr 0.000 0.000 0.000
Cu 0.250 0.750 0.500
Ge 0.382 0.382 0.000
Ge 0.618 0.618 0.000
Au 0.750 0.250 0.500

Below is a relaxed ScSnAu crystal, with properties calculated at the PBE-GGA level.

## Properties
Magnetization = 0.00 μB/atom
ΔE_f = -304.6 meV/atom
Electronic total energy = -4.84 eV per atom
Space-group type = F-43m (216)

Lattice parameters (Å, degrees): 4.697 4.697 4.697 60.00 60.00 60.00
Sites, in units of the cell vectors:
Sc 0.000 0.000 0.000
Sn 0.750 0.750 0.750
Au 0.250 0.250 0.250

Below is a relaxed Ag8TeBr6 crystal, with properties calculated at the PBE-GGA level.

## Properties
Uncorrected formation energy = -0.239 eV/atom
Magnetization = 0.00 μB/atom
Electronic total energy = -2.64 eV per atom
Space-group type = R-3 (148)

Lattice parameters (Å, degrees): 7.442 7.442 7.442 99.68 99.68 99.68
Sites, in units of the cell vectors:
Ag 0.175 0.305 0.612
Ag 0.221 0.221 0.221
Ag 0.305 0.612 0.175
Ag 0.388 0.825 0.695
Ag 0.612 0.175 0.305
Ag 0.695 0.388 0.825
Ag 0.779 0.779 0.779
Ag 0.825 0.695 0.388
Te 0.500 0.500 0.500
Br 0.094 0.630 0.825
Br 0.175 0.906 0.370
Br 0.370 0.175 0.906
Br 0.630 0.825 0.094
Br 0.825 0.094 0.630
Br 0.906 0.370 0.175

Below is a relaxed La2MgSc crystal, with properties calculated at the PBE-GGA level.

## Properties
Magnetization = 0.00 μB/atom
ΔE_f = 96.1 meV/atom
Electronic total energy = -4.35 eV per atom
Space-group type = P2/m (10)

Lattice parameters (Å, degrees): 3.367 5.674 6.387 90.00 98.26 90.00
Sites, in units of the cell vectors:
La 0.204 0.000 0.260
La 0.796 0.000 0.740
Mg 0.500 0.500 0.000
Sc 0.000 0.500 0.500

Below is a relaxed InTe2As2 crystal, with properties calculated at the PBE-GGA level.

## Properties
Uncorrected formation energy = 0.091 eV/atom
Magnetization = 0.00 μB/atom
Electronic total energy = -3.57 eV per atom
Space-group type = P4/mbm (127)

Lattice parameters (Å, degrees): 8.517 8.517 3.903 90.00 90.00 90.00
Sites, in units of the cell vectors:
In 0.000 0.000 0.000
In 0.500 0.500 0.000
Te 0.154 0.346 0.500
Te 0.346 0.846 0.500
Te 0.654 0.154 0.500
Te 0.846 0.654 0.500
As 0.192 0.692 0.000
As 0.308 0.192 0.000
As 0.692 0.808 0.000
As 0.808 0.308 0.000

Copy entry 1 word for word.
Below is a relaxed Tb6Dy2HoTh crystal, with properties calculated at the PBE-GGA level.

## Properties
Magnetization = 0.00 μB/atom
ΔE_f = 149.9 meV/atom
Electronic total energy = -4.75 eV per atom
Space-group type = C2/c (15)

Lattice parameters (Å, degrees): 8.765 8.765 9.439 93.22 93.22 116.43
Sites, in units of the cell vectors:
Tb 0.013 0.570 0.185
Tb 0.118 0.762 0.559
Tb 0.238 0.882 0.941
Tb 0.292 0.517 0.385
Tb 0.430 0.987 0.315
Tb 0.483 0.708 0.115
Tb 0.517 0.292 0.885
Tb 0.570 0.013 0.685
Tb 0.708 0.483 0.615
Tb 0.762 0.118 0.059
Tb 0.882 0.238 0.441
Tb 0.987 0.430 0.815
Dy 0.202 0.300 0.052
Dy 0.300 0.202 0.552
Dy 0.700 0.798 0.448
Dy 0.798 0.700 0.948
Ho 0.409 0.591 0.750
Ho 0.591 0.409 0.250
Th 0.032 0.968 0.250
Th 0.968 0.032 0.750